# Pm2Tl3F8 | Alexandria | PBE | optimized geometry
data_Pm2Tl3F8
_symmetry_space_group_name_H-M 'C m m m'
_symmetry_Int_Tables_number 65
_symmetry_space_group_name_Hall '-C 2 2'
_cell_length_a 8.0519
_cell_length_b 14.6775
_cell_length_c 3.9693
_cell_angle_alpha 90.00
_cell_angle_beta 90.00
_cell_angle_gamma 90.00
loop_
_atom_site_label
_atom_site_type_symbol
_atom_site_fract_x
_atom_site_fract_y
_atom_site_fract_z
_atom_site_occupancy
Pm1 Pm 0.0000 0.2466 0.0000 1
Tl1 Tl 0.0000 0.5000 0.0000 1
Tl2 Tl 0.1934 0.0000 0.5000 1
F1 F 0.0000 0.1575 0.5000 1
F2 F 0.0000 0.3356 0.5000 1
F3 F 0.2478 0.3395 0.0000 1
# - theoretical density (Mg/m³) = 7.47
# - DOS(E_F) (states/eV/atom) = 0.23
# - crystal system = orthorhombic
# - E (eV/atom) = -5.39


# ZrZnRu2 | Alexandria | PBE | optimized geometry
data_ZrZnRu2
_symmetry_space_group_name_H-M 'F -4 3 m'
_symmetry_Int_Tables_number 216
_symmetry_space_group_name_Hall 'F -4 2 3'
_cell_length_a 6.3655
_cell_length_b 6.3655
_cell_length_c 6.3655
_cell_angle_alpha 90.00
_cell_angle_beta 90.00
_cell_angle_gamma 90.00
loop_
_atom_site_label
_atom_site_type_symbol
_atom_site_fract_x
_atom_site_fract_y
_atom_site_fract_z
_atom_site_occupancy
Zr1 Zr 0.0000 0.0000 0.0000 1
Zn1 Zn 0.2500 0.2500 0.7500 1
Ru1 Ru 0.0000 0.0000 0.5000 1
Ru2 Ru 0.2500 0.2500 0.2500 1
# - theoretical density (Mg/m³) = 9.24
# - DOS(E_F) (states/eV/atom) = 1.12
# - crystal system = cubic
# - E (eV/atom) = -7.07
# - energy of formation (eV/atom) = 0.022


# MgAsIr2 | Alexandria | PBE | optimized geometry
data_MgAsIr2
_symmetry_space_group_name_H-M 'C m m m'
_symmetry_Int_Tables_number 65
_symmetry_space_group_name_Hall '-C 2 2'
_cell_length_a 2.9357
_cell_length_b 4.8816
_cell_length_c 8.8003
_cell_angle_alpha 90.00
_cell_angle_beta 90.00
_cell_angle_gamma 90.00
loop_
_atom_site_label
_atom_site_type_symbol
_atom_site_fract_x
_atom_site_fract_y
_atom_site_fract_z
_atom_site_occupancy
Mg1 Mg 0.0000 0.0000 0.0000 1
As1 As 0.0000 0.0000 0.5000 1
Ir1 Ir 0.0000 0.5000 0.2522 1
# - theoretical density (Mg/m³) = 12.74
# - DOS(E_F) (states/eV/atom) = 0.49
# - crystal system = orthorhombic
# - E (eV/atom) = -5.89
# - distance to the lowest polymorph of the same formula (meV per atom) = 292
# - energy of formation (eV/atom) = 0.103


# KTl2In | Alexandria | PBE | optimized geometry
data_KTl2In
_symmetry_space_group_name_H-M 'C m m m'
_symmetry_Int_Tables_number 65
_symmetry_space_group_name_Hall '-C 2 2'
_cell_length_a 7.0402
_cell_length_b 10.5268
_cell_length_c 3.4644
_cell_angle_alpha 90.00
_cell_angle_beta 90.00
_cell_angle_gamma 90.00
loop_
_atom_site_label
_atom_site_type_symbol
_atom_site_fract_x
_atom_site_fract_y
_atom_site_fract_z
_atom_site_occupancy
K1 K 0.0000 0.0000 0.0000 1
Tl1 Tl 0.2500 0.2500 0.5000 1
In1 In 0.0000 0.5000 0.0000 1
# - theoretical density (Mg/m³) = 7.28
# - DOS(E_F) (states/eV/atom) = 0.75
# - crystal system = orthorhombic
# - E (eV/atom) = -2.13
# - energy of formation (eV/atom) = 0.015


# KBi2Pb | Alexandria | PBE | optimized geometry
data_KBi2Pb
_symmetry_space_group_name_H-M 'R -3 m'
_symmetry_Int_Tables_number 166
_symmetry_space_group_name_Hall '-R 3 2"'
_cell_length_a 3.9996
_cell_length_b 3.9996
_cell_length_c 31.4369
_cell_angle_alpha 90.00
_cell_angle_beta 90.00
_cell_angle_gamma 120.00
loop_
_atom_site_label
_atom_site_type_symbol
_atom_site_fract_x
_atom_site_fract_y
_atom_site_fract_z
_atom_site_occupancy
K1 K 0.0000 0.0000 0.0000 1
Bi1 Bi 0.0000 0.0000 0.2414 1
Pb1 Pb 0.0000 0.0000 0.5000 1
# - theoretical density (Mg/m³) = 7.60
# - DOS(E_F) (states/eV/atom) = 0.63
# - crystal system = trigonal
# - E (eV/atom) = -3.14
# - energy of formation (eV/atom) = -0.002


# CuSnSb3 | Alexandria | PBE | optimized geometry
data_CuSnSb3
_symmetry_space_group_name_H-M 'P m -3 m'
_symmetry_Int_Tables_number 221
_symmetry_space_group_name_Hall '-P 4 2 3'
_cell_length_a 5.1495
_cell_length_b 5.1495
_cell_length_c 5.1495
_cell_angle_alpha 90.00
_cell_angle_beta 90.00
_cell_angle_gamma 90.00
loop_
_atom_site_label
_atom_site_type_symbol
_atom_site_fract_x
_atom_site_fract_y
_atom_site_fract_z
_atom_site_occupancy
Cu1 Cu 0.0000 0.0000 0.0000 1
Sn1 Sn 0.5000 0.5000 0.5000 1
Sb1 Sb 0.0000 0.0000 0.5000 1
# - theoretical density (Mg/m³) = 6.66
# - DOS(E_F) (states/eV/atom) = 0.75
# - crystal system = cubic
# - E (eV/atom) = -3.70
# - distance to the lowest polymorph of the same formula (meV per atom) = 0


# Tm2ThAu | Alexandria | PBE | optimized geometry
data_Tm2ThAu
_symmetry_space_group_name_H-M 'R -3 m'
_symmetry_Int_Tables_number 166
_symmetry_space_group_name_Hall '-R 3 2"'
_cell_length_a 3.6341
_cell_length_b 3.6341
_cell_length_c 29.6153
_cell_angle_alpha 90.00
_cell_angle_beta 90.00
_cell_angle_gamma 120.00
loop_
_atom_site_label
_atom_site_type_symbol
_atom_site_fract_x
_atom_site_fract_y
_atom_site_fract_z
_atom_site_occupancy
Tm1 Tm 0.0000 0.0000 0.2368 1
Th1 Th 0.0000 0.0000 0.0000 1
Au1 Au 0.0000 0.0000 0.5000 1
# - theoretical density (Mg/m³) = 11.28
# - DOS(E_F) (states/eV/atom) = 1.52
# - crystal system = trigonal
# - E (eV/atom) = -5.19
# - distance to the lowest polymorph of the same formula (meV per atom) = 144
# - energy of formation (eV/atom) = -0.284


# Y4ErRu2 | Alexandria | PBE | optimized geometry
data_Y4ErRu2
_symmetry_space_group_name_H-M 'P 1 21/m 1'
_symmetry_Int_Tables_number 11
_symmetry_space_group_name_Hall '-P 2yb'
_cell_length_a 7.7983
_cell_length_b 6.3388
_cell_length_c 7.9170
_cell_angle_alpha 90.00
_cell_angle_beta 112.60
_cell_angle_gamma 90.00
loop_
_atom_site_label
_atom_site_type_symbol
_atom_site_fract_x
_atom_site_fract_y
_atom_site_fract_z
_atom_site_occupancy
Y1 Y 0.1225 0.2500 0.4788 1
Y2 Y 0.1762 0.7500 0.2543 1
Y3 Y 0.2588 0.5011 0.9143 1
Er1 Er 0.4717 0.2500 0.3352 1
Ru1 Ru 0.0882 0.2500 0.1251 1
Ru2 Ru 0.4783 0.2500 0.7541 1
# - theoretical density (Mg/m³) = 6.66
# - DOS(E_F) (states/eV/atom) = 1.01
# - crystal system = monoclinic
# - E (eV/atom) = -7.22
# - energy of formation (eV/atom) = -0.225